[1]
This record from the Alexandria database describes an optimized crystal structure of Li2CuNi5. The functional is PBE-GGA.

Computed properties:
Fermi-level density of states   17.35 states/eV/cell
E_form   -0.035 eV per atom

Cell lengths 2.4742, 5.0092, 14.1965 Å; angles 90.00, 90.00, 90.00 degrees
Closest atoms and distances in Å follow each position.
Fractional coordinates of all 16 atoms:
Ni: 0.5000 0.7586 0.1264  8 Ni 2.47-2.49, 2 Li 2.48-2.53, 2 Cu 2.54
Ni: 0.0000 0.5048 0.2496  8 Ni 2.47-2.50, 4 Li 2.48-2.49
Ni: 0.0000 0.5000 0.5000  6 Ni 2.47-2.49, 2 Cu 2.50, 4 Li 2.52
Ni: 0.5000 0.7414 0.6264  8 Ni 2.47-2.49, 2 Li 2.48-2.53, 2 Cu 2.54
Ni: 0.0000 0.0000 0.0000  6 Ni 2.47-2.49, 2 Cu 2.50, 4 Li 2.52
Ni: 0.0000 0.9952 0.7496  8 Ni 2.47-2.50, 4 Li 2.48-2.49
Ni: 0.5000 0.2414 0.8736  8 Ni 2.47-2.49, 2 Li 2.48-2.53, 2 Cu 2.54
Ni: 0.0000 0.0048 0.2504  8 Ni 2.47-2.50, 4 Li 2.48-2.49
Ni: 0.5000 0.2586 0.3736  8 Ni 2.47-2.49, 2 Li 2.48-2.53, 2 Cu 2.54
Ni: 0.0000 0.4952 0.7504  8 Ni 2.47-2.50, 4 Li 2.48-2.49
Li: 0.5000 0.2470 0.6264  2 Li 2.47, 8 Ni 2.48-2.53, 2 Cu 2.51
Li: 0.5000 0.7530 0.3736  2 Li 2.47, 8 Ni 2.48-2.53, 2 Cu 2.51
Li: 0.5000 0.7470 0.8736  2 Li 2.47, 8 Ni 2.48-2.53, 2 Cu 2.51
Li: 0.5000 0.2530 0.1264  2 Li 2.47, 8 Ni 2.48-2.53, 2 Cu 2.51
Cu: 0.0000 0.0000 0.5000  2 Cu 2.47, 6 Ni 2.50-2.54, 4 Li 2.51
Cu: 0.0000 0.5000 0.0000  2 Cu 2.47, 6 Ni 2.50-2.54, 4 Li 2.51

[2]
This record from the Alexandria database describes an optimized crystal structure of LiCu15Ni4. The functional is PBE-GGA.

Computed properties:
Fermi-level density of states   10.21 states/eV/cell
E_form   0.002 eV per atom

Cell lengths 3.5857, 3.5857, 18.1572 Å; angles 90.00, 90.00, 90.00 degrees
Closest atoms and distances in Å follow each position.
Fractional coordinates of all 20 atoms:
Cu: 0.5000 0.5000 0.0000  4 Li 2.54, 8 Cu 2.59
Cu: 0.5000 0.0000 0.8974  2 Ni 2.53, 8 Cu 2.54-2.59, 2 Li 2.59
Cu: 0.5000 0.0000 0.1026  2 Ni 2.53, 8 Cu 2.54-2.59, 2 Li 2.59
Cu: 0.0000 0.5000 0.1026  2 Ni 2.53, 8 Cu 2.54-2.59, 2 Li 2.59
Cu: 0.5000 0.0000 0.3011  8 Cu 2.54-2.55, 4 Ni 2.54-2.55
Cu: 0.5000 0.5000 0.7984  4 Ni 2.54, 8 Cu 2.54-2.55
Cu: 0.0000 0.5000 0.6989  8 Cu 2.54-2.55, 4 Ni 2.54-2.55
Cu: 0.5000 0.0000 0.6989  8 Cu 2.54-2.55, 4 Ni 2.54-2.55
Cu: 0.0000 0.5000 0.5000  8 Cu 2.54-2.55, 4 Ni 2.55
Cu: 0.5000 0.5000 0.2016  4 Ni 2.54, 8 Cu 2.54-2.55
Cu: 0.0000 0.5000 0.3011  8 Cu 2.54-2.55, 4 Ni 2.54-2.55
Cu: 0.5000 0.5000 0.4005  4 Ni 2.54, 8 Cu 2.54-2.55
Cu: 0.0000 0.5000 0.8974  2 Ni 2.53, 8 Cu 2.54-2.59, 2 Li 2.59
Cu: 0.5000 0.5000 0.5995  4 Ni 2.54, 8 Cu 2.54-2.55
Cu: 0.5000 0.0000 0.5000  8 Cu 2.54-2.55, 4 Ni 2.55
Ni: 0.0000 0.0000 0.5997  12 Cu 2.54-2.55
Ni: 0.0000 0.0000 0.7987  12 Cu 2.53-2.55
Ni: 0.0000 0.0000 0.4003  12 Cu 2.54-2.55
Ni: 0.0000 0.0000 0.2013  12 Cu 2.53-2.55
Li: 0.0000 0.0000 0.0000  12 Cu 2.54-2.59

[3]
This record from the Alexandria database describes an optimized crystal structure of Li5Cu6Ni. The functional is PBE-GGA.

Computed properties:
Fermi-level density of states   4.10 states/eV/cell
E_form   -0.015 eV per atom

Cell lengths 8.6325, 4.4796, 4.4799 Å; angles 60.00, 85.02, 80.01 degrees
Closest atoms and distances in Å follow each position.
Fractional coordinates of all 12 atoms:
Li: 0.5000 0.1679 0.6642  6 Li 2.58-2.61, 6 Cu 2.62-2.64
Li: 0.0000 0.6669 0.6663  6 Cu 2.57-2.58, 3 Li 2.58-2.59, 3 Ni 2.59
Li: 0.5000 0.8321 0.3358  6 Li 2.58-2.61, 6 Cu 2.62-2.64
Li: 0.5000 0.5000 0.0000  6 Li 2.58-2.59, 6 Cu 2.62-2.64
Li: 0.0000 0.3331 0.3337  6 Cu 2.57-2.58, 3 Li 2.58-2.59, 3 Ni 2.59
Cu: 0.7540 0.7537 0.0000  6 Cu 2.55-2.61, 1 Ni 2.56, 5 Li 2.58-2.64
Cu: 0.7544 0.0821 0.3279  6 Cu 2.54-2.61, 1 Ni 2.55, 5 Li 2.57-2.64
Cu: 0.2460 0.2463 0.0000  6 Cu 2.55-2.61, 1 Ni 2.56, 5 Li 2.58-2.64
Cu: 0.7544 0.4100 0.6721  6 Cu 2.54-2.61, 1 Ni 2.55, 5 Li 2.57-2.64
Cu: 0.2456 0.5900 0.3279  6 Cu 2.54-2.61, 1 Ni 2.55, 5 Li 2.57-2.64
Cu: 0.2456 0.9179 0.6721  6 Cu 2.54-2.61, 1 Ni 2.55, 5 Li 2.57-2.64
Ni: 0.0000 0.0000 0.0000  6 Cu 2.55-2.56, 6 Li 2.59

| no. | size of the total moment (μB/f.u.) |
| --- | --- |
| 1 | 1.5 |
| 2 | 0.0 |
| 3 | 0.0 |